1.
Density functional theory data (PBE) for a geometry-optimized Sm7Sb3 structure.

Geometry as extended XYZ:
```
10
Lattice="9.036 -2.433 0.000 9.036 2.433 0.000 -1.794 0.000 6.663" Properties=species:S:1:pos:R:3 pbc="T T T"
Sm 0.000 0.000 0.000
Sm 2.635 0.000 4.190
Sm 6.594 0.000 1.110
Sm 6.187 0.000 4.577
Sm 10.091 0.000 2.087
Sm 9.683 0.000 5.553
Sm 13.642 0.000 2.473
Sb -0.897 0.000 3.332
Sb 3.111 0.000 0.930
Sb 13.166 0.000 5.734
```

Energy relative to the elements, uncorrected = -0.630 eV/atom
Calculated volume = 29.3 A^3/atom


2.
Density functional theory data (PBE) for a geometry-optimized SmSb3 structure.

Geometry as extended XYZ:
```
4
Lattice="4.804 0.000 0.000 0.000 4.804 0.000 0.000 0.000 4.804" Properties=species:S:1:pos:R:3 pbc="T T T"
Sm 0.000 0.000 0.000
Sb 0.000 2.402 2.402
Sb 2.402 0.000 2.402
Sb 2.402 2.402 0.000
```

Energy relative to the elements, uncorrected = -0.435 eV/atom
Polymorph energy (0 for the lowest one) = 26 kJ/mol of formula units
Calculated volume = 27.7 A^3/atom


3.
Density functional theory data (PBE) for a geometry-optimized Sm5Sb3 structure.

Geometry as extended XYZ:
```
16
Lattice="9.211 0.000 0.000 -4.605 7.977 0.000 0.000 0.000 6.442" Properties=species:S:1:pos:R:3 pbc="T T T"
Sm -1.145 1.983 1.610
Sm -3.461 5.994 4.831
Sm 2.290 0.000 1.610
Sm 1.145 1.983 4.831
Sm 0.000 5.318 0.000
Sm 0.000 5.318 3.221
Sm 4.605 2.659 0.000
Sm 4.605 2.659 3.221
Sm 6.921 0.000 4.831
Sm 3.461 5.994 1.610
Sb -1.784 3.090 4.831
Sb -2.821 4.887 1.610
Sb 3.568 0.000 4.831
Sb 1.784 3.090 1.610
Sb 5.643 0.000 1.610
Sb 2.821 4.887 4.831
```

Energy relative to the elements, uncorrected = -0.963 eV/atom
Calculated volume = 29.6 A^3/atom


4.
Density functional theory data (PBE) for a geometry-optimized SmSb3 structure.

Geometry as extended XYZ:
```
8
Lattice="4.514 0.000 0.000 0.000 4.514 0.000 0.000 0.000 10.895" Properties=species:S:1:pos:R:3 pbc="T T T"
Sm 0.000 0.000 0.000
Sm 2.257 2.257 5.448
Sb 0.000 0.000 5.448
Sb 0.000 2.257 2.724
Sb 0.000 2.257 8.172
Sb 2.257 0.000 2.724
Sb 2.257 0.000 8.172
Sb 2.257 2.257 0.000
```

Energy relative to the elements, uncorrected = -0.479 eV/atom
Polymorph energy (0 for the lowest one) = 9 kJ/mol of formula units
Calculated volume = 27.8 A^3/atom


5.
Density functional theory data (PBE) for a geometry-optimized Sm2Sb structure.

Geometry as extended XYZ:
```
12
Lattice="6.932 0.000 0.000 0.000 4.893 0.000 0.000 0.000 10.365" Properties=species:S:1:pos:R:3 pbc="T T T"
Sm 0.563 1.223 2.160
Sm 1.119 1.223 5.740
Sm 2.347 3.670 0.558
Sm 2.903 3.670 7.342
Sm 4.029 1.223 3.023
Sm 4.584 1.223 9.806
Sm 5.813 3.670 4.624
Sm 6.369 3.670 8.205
Sb 1.340 1.223 9.067
Sb 2.126 3.670 3.885
Sb 4.806 1.223 6.480
Sb 5.592 3.670 1.297
```

Energy relative to the elements, uncorrected = -0.766 eV/atom
Calculated volume = 29.3 A^3/atom


6.
Density functional theory data (PBE) for a geometry-optimized Sm3Sb2 structure.

Geometry as extended XYZ:
```
10
Lattice="-4.352 5.890 3.167 4.352 -5.890 3.167 4.352 5.890 -3.167" Properties=species:S:1:pos:R:3 pbc="T T T"
Sm 5.585 1.771 0.000
Sm 0.000 0.000 1.583
Sm 1.233 4.119 0.000
Sm 3.119 1.771 3.167
Sm 0.000 0.000 4.750
Sm -1.233 4.119 3.167
Sb 2.482 1.303 0.000
Sb 2.482 -1.303 3.167
Sb 1.870 7.193 0.000
Sb 1.870 4.587 3.167
```

Energy relative to the elements, uncorrected = -0.852 eV/atom
Calculated volume = 32.5 A^3/atom


7.
Density functional theory data (PBE) for a geometry-optimized Sm8Sn2Sb structure.

Geometry as extended XYZ:
```
11
Lattice="10.033 -2.533 0.000 10.033 2.533 0.000 -1.533 0.000 6.899" Properties=species:S:1:pos:R:3 pbc="T T T"
Sm 0.086 0.000 1.822
Sm 3.076 0.000 5.752
Sm 6.087 0.000 3.381
Sm 8.105 0.000 0.141
Sm 10.429 0.000 6.758
Sm 12.446 0.000 3.518
Sm 15.457 0.000 1.146
Sm 18.448 0.000 5.077
Sn 3.259 0.000 1.808
Sn 15.275 0.000 5.090
Sb 9.267 0.000 3.449
```

Energy relative to the elements, uncorrected = -0.449 eV/atom
Calculated volume = 31.9 A^3/atom


8.
Density functional theory data (PBE) for a geometry-optimized SmSn2Sb structure.

Geometry as extended XYZ:
```
12
Lattice="3.781 0.000 0.000 -1.891 3.275 0.000 0.000 0.000 31.517" Properties=species:S:1:pos:R:3 pbc="T T T"
Sm 0.000 0.000 0.000
Sm 0.000 2.183 21.011
Sm 1.891 1.092 10.506
Sn 0.000 0.000 3.143
Sn 0.000 0.000 28.374
Sn 0.000 2.183 17.869
Sn 0.000 2.183 24.154
Sn 1.891 1.092 7.363
Sn 1.891 1.092 13.648
Sb 0.000 0.000 15.758
Sb 0.000 2.183 5.253
Sb 1.891 1.092 26.264
```

Energy relative to the elements, uncorrected = 0.163 eV/atom
Polymorph energy (0 for the lowest one) = 246 kJ/mol of formula units
Calculated volume = 32.5 A^3/atom


9.
Density functional theory data (PBE) for a geometry-optimized Sm7Sn2Sb2 structure.

Geometry as extended XYZ:
```
11
Lattice="4.397 -5.659 0.000 4.397 5.659 0.000 0.000 0.000 7.306" Properties=species:S:1:pos:R:3 pbc="T T T"
Sm 0.000 0.000 0.000
Sm 2.199 2.829 2.056
Sm 2.199 2.829 5.251
Sm 2.199 -2.829 2.056
Sm 2.199 -2.829 5.251
Sm 4.397 0.000 1.913
Sm 4.397 0.000 5.393
Sn 1.567 0.000 3.653
Sn 7.227 0.000 3.653
Sb 4.397 2.515 0.000
Sb 4.397 -2.515 0.000
```

Energy relative to the elements, uncorrected = -0.453 eV/atom
Calculated volume = 33.1 A^3/atom


10.
Density functional theory data (PBE) for a geometry-optimized Sm5SnSb4 structure.

Geometry as extended XYZ:
```
10
Lattice="-4.998 4.998 3.161 4.998 -4.998 3.161 4.998 4.998 -3.161" Properties=species:S:1:pos:R:3 pbc="T T T"
Sm 0.000 0.000 0.000
Sm 3.987 1.981 0.000
Sm 3.017 -1.011 3.161
Sm 1.981 6.009 0.000
Sm 1.011 3.017 3.161
Sn 0.000 0.000 3.161
Sb 6.995 0.996 0.000
Sb 0.996 3.001 0.000
Sb 4.002 1.997 3.161
Sb -1.997 4.002 3.161
```

Energy relative to the elements, uncorrected = -1.047 eV/atom
Calculated volume = 31.6 A^3/atom


11.
Density functional theory data (PBE) for a geometry-optimized Sm2SnSb structure.

Geometry as extended XYZ:
```
8
Lattice="4.519 0.000 0.000 0.000 4.414 0.000 0.000 0.000 11.727" Properties=species:S:1:pos:R:3 pbc="T T T"
Sm 0.000 0.000 0.000
Sm 0.000 2.207 5.864
Sm 2.260 0.000 3.063
Sm 2.260 2.207 8.926
Sn 2.260 0.000 6.180
Sn 2.260 2.207 0.317
Sb 0.000 0.000 8.549
Sb 0.000 2.207 2.685
```

Energy relative to the elements, uncorrected = -0.876 eV/atom
Polymorph energy (0 for the lowest one) = 36 kJ/mol of formula units
Calculated volume = 29.2 A^3/atom


12.
Density functional theory data (PBE) for a geometry-optimized SmSn2Sb structure.

Geometry as extended XYZ:
```
4
Lattice="4.644 0.000 0.000 0.000 4.644 0.000 0.000 0.000 5.037" Properties=species:S:1:pos:R:3 pbc="T T T"
Sm 0.000 0.000 0.000
Sn 0.000 2.322 2.519
Sn 2.322 0.000 2.519
Sb 2.322 2.322 0.000
```

Energy relative to the elements, uncorrected = -0.474 eV/atom
Polymorph energy (0 for the lowest one) = 0 kJ/mol of formula units
Calculated volume = 27.2 A^3/atom


13.
Density functional theory data (PBE) for a geometry-optimized Sm2SnSb structure.

Geometry as extended XYZ:
```
16
Lattice="4.563 0.000 0.000 0.000 24.342 0.000 0.000 0.000 4.401" Properties=species:S:1:pos:R:3 pbc="T T T"
Sm 0.000 1.537 1.100
Sm 0.000 7.696 1.100
Sm 0.000 16.646 3.300
Sm 0.000 22.805 3.300
Sm 2.282 4.475 3.300
Sm 2.282 10.634 3.300
Sm 2.282 13.708 1.100
Sm 2.282 19.867 1.100
Sn 0.000 11.073 1.100
Sn 0.000 13.269 3.300
Sn 2.282 1.098 3.300
Sn 2.282 23.244 1.100
Sb 0.000 4.585 1.100
Sb 0.000 19.758 3.300
Sb 2.282 7.586 3.300
Sb 2.282 16.756 1.100
```

Energy relative to the elements, uncorrected = -0.969 eV/atom
Polymorph energy (0 for the lowest one) = 0 kJ/mol of formula units
Calculated volume = 30.6 A^3/atom


14.
Density functional theory data (PBE) for a geometry-optimized Sm6SnSb3 structure.

Geometry as extended XYZ:
```
20
Lattice="5.650 -7.556 0.000 5.650 7.556 0.000 0.000 0.000 7.803" Properties=species:S:1:pos:R:3 pbc="T T T"
Sm 5.650 7.528 3.901
Sm 3.570 3.425 7.684
Sm 5.650 3.783 2.948
Sm 3.651 0.720 3.082
Sm 3.651 -0.720 6.983
Sm 7.729 3.425 7.684
Sm 3.570 -3.425 3.783
Sm 7.649 0.720 3.082
Sm 7.649 -0.720 6.983
Sm 5.650 -3.783 6.850
Sm 7.729 -3.425 3.783
Sm 5.650 -7.528 0.000
Sn 5.650 5.025 5.815
Sn 5.650 -5.025 1.913
Sb 2.055 1.569 5.676
Sb 2.055 -1.569 1.774
Sb 5.650 1.225 0.726
Sb 5.650 -1.225 4.627
Sb 9.245 1.569 5.676
Sb 9.245 -1.569 1.774
```

Energy relative to the elements, uncorrected = -0.725 eV/atom
Calculated volume = 33.3 A^3/atom


15.
Density functional theory data (PBE) for a geometry-optimized Sm5Sn2Sb2 structure.

Geometry as extended XYZ:
```
18
Lattice="-8.624 3.902 4.230 8.624 -3.902 4.230 8.624 3.902 -4.230" Properties=species:S:1:pos:R:3 pbc="T T T"
Sm 4.312 2.709 -1.960
Sm 1.059 1.577 0.000
Sm 7.565 1.577 0.000
Sm 4.312 1.193 2.270
Sm 11.302 2.683 1.025
Sm 5.945 -1.219 5.255
Sm 2.679 5.120 1.025
Sm -2.679 1.219 5.255
Sm 1.059 2.325 4.230
Sm 7.565 2.325 4.230
Sn 1.418 -0.354 2.496
Sn 7.206 -0.354 2.496
Sn 7.206 4.256 -1.734
Sn 10.041 0.354 2.496
Sb 0.000 3.902 1.821
Sb 0.000 0.000 6.051
Sb -4.312 3.758 3.637
Sb 4.312 4.045 3.637
```

Energy relative to the elements, uncorrected = -0.691 eV/atom
Polymorph energy (0 for the lowest one) = 219 kJ/mol of formula units
Calculated volume = 31.6 A^3/atom


16.
Density functional theory data (PBE) for a geometry-optimized Sm8SnSb5 structure.

Geometry as extended XYZ:
```
14
Lattice="-4.704 4.704 4.705 4.704 -4.704 4.705 4.704 4.704 -4.705" Properties=species:S:1:pos:R:3 pbc="T T T"
Sm 6.382 0.668 0.504
Sm 4.041 3.027 -1.842
Sm 0.668 3.027 -0.504
Sm 0.663 1.677 2.863
Sm 1.677 -0.663 6.547
Sm 4.036 1.678 4.200
Sm 3.027 5.367 1.842
Sm -1.678 4.036 5.209
Sn 0.000 4.704 2.352
Sb 0.000 0.000 0.000
Sb 2.356 -1.176 3.527
Sb 3.528 2.348 1.177
Sb 2.348 5.880 -1.177
Sb 1.176 2.356 5.882
```

Energy relative to the elements, uncorrected = -0.998 eV/atom
Calculated volume = 29.7 A^3/atom


17.
Density functional theory data (PBE) for a geometry-optimized Sm8Sn5Sb structure.

Geometry as extended XYZ:
```
14
Lattice="-4.737 4.737 4.735 4.737 -4.737 4.735 4.737 4.737 -4.735" Properties=species:S:1:pos:R:3 pbc="T T T"
Sm 4.068 3.032 -2.894
Sm 4.065 1.703 0.517
Sm 0.669 1.705 1.842
Sm 3.034 -0.672 4.218
Sm 1.703 5.410 -0.517
Sm 1.705 -0.669 7.629
Sm 0.672 3.034 5.252
Sm 3.032 5.406 2.894
Sn 2.372 -1.187 1.188
Sn 5.924 -2.365 3.547
Sn 7.102 1.187 1.188
Sn 3.550 2.365 3.547
Sn 0.000 4.737 2.368
Sb 0.000 0.000 4.735
```

Energy relative to the elements, uncorrected = -0.798 eV/atom
Calculated volume = 30.4 A^3/atom


18.
Density functional theory data (PBE) for a geometry-optimized Sm6Sn2Sb structure.

Geometry as extended XYZ:
```
9
Lattice="8.533 0.000 0.000 -4.267 7.390 0.000 0.000 0.000 4.365" Properties=species:S:1:pos:R:3 pbc="T T T"
Sm -1.139 1.972 0.000
Sm -2.545 4.409 2.183
Sm 2.277 0.000 0.000
Sm 1.721 2.981 2.183
Sm 5.091 0.000 2.183
Sm 3.128 5.418 0.000
Sn 0.000 4.927 0.000
Sn 4.267 2.463 0.000
Sb 0.000 0.000 2.183
```

Energy relative to the elements, uncorrected = -0.650 eV/atom
Calculated volume = 30.6 A^3/atom


19.
Density functional theory data (PBE) for a geometry-optimized SmSnSb structure.

Geometry as extended XYZ:
```
3
Lattice="4.463 0.000 0.000 0.000 4.604 0.000 0.000 0.000 4.637" Properties=species:S:1:pos:R:3 pbc="T T T"
Sm 0.000 0.000 0.000
Sn 0.000 2.302 2.318
Sb 2.232 0.000 2.318
```

Energy relative to the elements, uncorrected = -0.576 eV/atom
Polymorph energy (0 for the lowest one) = 0 kJ/mol of formula units
Calculated volume = 31.8 A^3/atom


20.
Density functional theory data (PBE) for a geometry-optimized Sm2SnSb structure.

Geometry as extended XYZ:
```
12
Lattice="4.338 0.000 0.000 -2.169 3.756 0.000 0.000 0.000 23.240" Properties=species:S:1:pos:R:3 pbc="T T T"
Sm 0.000 0.000 5.745
Sm 0.000 0.000 17.495
Sm 0.000 2.504 9.748
Sm 0.000 2.504 21.238
Sm 2.169 1.252 2.002
Sm 2.169 1.252 13.491
Sn 0.000 0.000 0.000
Sn 0.000 2.504 15.493
Sn 2.169 1.252 7.747
Sb 0.000 0.000 11.620
Sb 0.000 2.504 3.873
Sb 2.169 1.252 19.366
```

Energy relative to the elements, uncorrected = -0.869 eV/atom
Polymorph energy (0 for the lowest one) = 39 kJ/mol of formula units
Calculated volume = 31.6 A^3/atom


21.
Density functional theory data (PBE) for a geometry-optimized SmSnSb structure.

Geometry as extended XYZ:
```
3
Lattice="5.227 0.000 0.000 -2.613 4.526 0.000 0.000 0.000 3.641" Properties=species:S:1:pos:R:3 pbc="T T T"
Sm 0.000 0.000 0.000
Sn 0.000 3.018 1.797
Sb 2.613 1.509 1.841
```

Energy relative to the elements, uncorrected = -0.400 eV/atom
Polymorph energy (0 for the lowest one) = 51 kJ/mol of formula units
Calculated volume = 28.7 A^3/atom


22.
Density functional theory data (PBE) for a geometry-optimized Sm5Sn2Sb2 structure.

Geometry as extended XYZ:
```
18
Lattice="7.872 -4.142 0.000 7.872 4.142 0.000 0.000 0.000 8.331" Properties=species:S:1:pos:R:3 pbc="T T T"
Sm 0.000 0.000 0.000
Sm 5.726 2.738 5.547
Sm 5.726 1.404 1.381
Sm 10.018 2.738 5.547
Sm 10.018 1.404 1.381
Sm 7.872 0.000 4.165
Sm 5.726 -1.404 6.950
Sm 5.726 -2.738 2.784
Sm 10.018 -1.404 6.950
Sm 10.018 -2.738 2.784
Sn 7.872 3.050 3.064
Sn 7.872 1.093 7.229
Sn 7.872 -1.093 1.102
Sn 7.872 -3.050 5.267
Sb 3.192 0.000 0.000
Sb 4.680 0.000 4.165
Sb 11.065 0.000 4.165
Sb 12.552 0.000 0.000
```

Energy relative to the elements, uncorrected = -0.944 eV/atom
Polymorph energy (0 for the lowest one) = 0 kJ/mol of formula units
Calculated volume = 30.2 A^3/atom